# 1
This record from the Alexandria database describes a PBEsol-optimized structure of CaAlSiO5. The functional is SCAN.

The structure in POSCAR format:
```
CaAlSiO5
1.0
-0.105 -5.358 0.159
1.891 1.384 -4.822
5.255 1.608 4.283
Ca Al Si O
2 2 2 10
Direct
0.326 0.674 0.250
0.674 0.326 0.750
0.000 0.000 0.500
0.000 0.000 0.000
0.684 0.316 0.250
0.316 0.684 0.750
0.061 0.939 0.250
0.939 0.061 0.750
0.883 0.306 0.104
0.117 0.694 0.896
0.694 0.117 0.396
0.306 0.883 0.604
0.758 0.634 0.395
0.242 0.366 0.605
0.366 0.242 0.105
0.634 0.758 0.895
```

Values from the calculation:
Space-group type: No. 15
DFT total energy (Ha/atom): -0.38088
ΔE_f (raw) (eV per atom): -3.041


# 2
This record from the Alexandria database describes a PBEsol-optimized structure of Cs2Cd2Hg. The functional is SCAN.

The structure in POSCAR format:
```
Cs2Cd2Hg
1.0
5.967 0.000 0.000
0.000 7.893 0.000
0.000 0.000 7.893
Cs Hg Cd
4 2 4
Direct
0.500 0.181 0.681
0.500 0.681 0.819
0.500 0.819 0.319
0.500 0.319 0.181
0.000 0.000 0.000
0.000 0.500 0.500
0.000 0.368 0.868
0.000 0.868 0.632
0.000 0.632 0.132
0.000 0.132 0.368
```

Values from the calculation:
Energy relative to the lowest polymorph listed for this composition (kJ/mol of formula units): 21
Density of states at the Fermi level (states/eV/atom): 0.57
Space-group type: No. 127
DFT total energy (Ha/atom): -1.50549


# 3
This record from the Alexandria database describes a PBEsol-optimized structure of Mn2Tc. The functional is SCAN.

The structure in POSCAR format:
```
Mn2Tc
1.0
-0.995 4.414 -0.829
-2.288 -3.326 -2.204
-10.257 -0.245 11.013
Mn Tc
16 8
Direct
0.333 0.667 0.871
0.667 0.333 0.129
0.667 0.333 0.371
0.333 0.667 0.629
0.000 0.500 0.000
0.500 0.000 0.000
0.500 0.500 0.000
0.000 0.500 0.500
0.500 0.000 0.500
0.500 0.500 0.500
0.683 0.841 0.750
0.159 0.317 0.750
0.159 0.841 0.750
0.317 0.159 0.250
0.841 0.683 0.250
0.841 0.159 0.250
0.000 0.000 0.909
0.000 0.000 0.091
0.000 0.000 0.409
0.000 0.000 0.591
0.333 0.667 0.157
0.667 0.333 0.843
0.667 0.333 0.657
0.333 0.667 0.343
```

Values from the calculation:
Energy relative to the lowest polymorph listed for this composition (kJ/mol of formula units): 0
Density of states at the Fermi level (states/eV/atom): 0.53
Space-group type: No. 194
DFT total energy (Ha/atom): -0.87722


# 4
This record from the Alexandria database describes a PBEsol-optimized structure of Sb3AsF. The functional is SCAN.

The structure in POSCAR format:
```
Sb3AsF
1.0
-3.411 3.358 0.794
-0.268 -1.371 4.646
3.440 3.223 1.149
Sb As F
3 1 1
Direct
0.000 0.500 0.000
0.000 0.000 0.500
0.500 0.000 0.000
0.500 0.500 0.500
0.000 0.000 0.000
```

Values from the calculation:
Density of states at the Fermi level (states/eV/atom): 0.69
Space-group type: No. 221
DFT total energy (Ha/atom): -0.98707
ΔE_f (raw) (eV per atom): 0.243


# 5
This record from the Alexandria database describes a PBEsol-optimized structure of Mo3Pt. The functional is SCAN.

The structure in POSCAR format:
```
Mo3Pt
1.0
4.952 0.000 0.000
0.000 4.952 0.000
0.000 0.000 4.952
Mo Pt
6 2
Direct
0.250 0.000 0.500
0.750 0.000 0.500
0.500 0.250 0.000
0.500 0.750 0.000
0.000 0.500 0.250
0.000 0.500 0.750
0.000 0.000 0.000
0.500 0.500 0.500
```

Values from the calculation:
Energy relative to the lowest polymorph listed for this composition (kJ/mol of formula units): 0
Density of states at the Fermi level (states/eV/atom): 0.98
Space-group type: No. 223
DFT total energy (Ha/atom): -1.61257


# 6
This record from the Alexandria database describes a PBEsol-optimized structure of TaSBr2. The functional is SCAN.

The structure in POSCAR format:
```
TaSBr2
1.0
4.667 0.000 0.000
2.334 6.654 0.000
2.334 0.000 6.654
S Br Ta
2 4 2
Direct
0.500 0.000 0.000
0.250 0.500 0.500
0.765 0.860 0.360
0.985 0.140 0.640
0.375 0.640 0.860
0.875 0.360 0.140
0.000 0.000 0.000
0.750 0.500 0.500
```

Values from the calculation:
Density of states at the Fermi level (states/eV/atom): 0.37
Space-group type: No. 122
DFT total energy (Ha/atom): -1.07714
ΔE_f (raw) (eV per atom): -0.528


# 7
This record from the Alexandria database describes a PBEsol-optimized structure of Sn5O6. The functional is SCAN.

The structure in POSCAR format:
```
Sn5O6
1.0
4.849 0.000 0.000
0.000 5.819 -0.005
0.000 -0.583 13.350
Sn O
10 12
Direct
0.002 0.819 0.899
0.998 0.350 0.699
0.498 0.319 0.899
0.502 0.681 0.101
0.498 0.150 0.301
0.998 0.181 0.101
0.002 0.650 0.301
0.500 0.500 0.500
0.502 0.850 0.699
0.000 0.000 0.500
0.178 0.039 0.642
0.822 0.961 0.358
0.678 0.461 0.358
0.198 0.708 0.441
0.802 0.292 0.559
0.321 0.371 0.045
0.179 0.871 0.045
0.322 0.539 0.642
0.679 0.629 0.955
0.821 0.129 0.955
0.698 0.792 0.559
0.302 0.208 0.441
```

Values from the calculation:
Density of states at the Fermi level (states/eV/atom): 0.00
Space-group type: No. 14
DFT total energy (Ha/atom): -0.77819
ΔE_f (raw) (eV per atom): -1.449


# 8
This record from the Alexandria database describes a PBEsol-optimized structure of MgTlZn2. The functional is SCAN.

The structure in POSCAR format:
```
MgTlZn2
1.0
-2.944 -0.630 -1.278
-1.054 -1.846 3.337
-2.069 5.182 2.213
Mg Tl Zn
1 1 2
Direct
0.500 0.500 0.000
0.500 0.500 0.500
0.000 0.000 0.776
0.000 0.000 0.224
```

Values from the calculation:
Energy relative to the lowest polymorph listed for this composition (kJ/mol of formula units): 8
Density of states at the Fermi level (states/eV/atom): 0.35
Space-group type: No. 47
DFT total energy (Ha/atom): -0.95566


# 9
This record from the Alexandria database describes a PBEsol-optimized structure of YCr3Tc. The functional is SCAN.

The structure in POSCAR format:
```
YCr3Tc
1.0
-0.863 3.637 -2.551
-3.875 0.654 2.243
2.171 2.613 2.990
Y Cr Tc
1 3 1
Direct
0.500 0.500 0.500
0.000 0.500 0.000
0.000 0.000 0.500
0.500 0.000 0.000
0.000 0.000 0.000
```

Values from the calculation:
Density of states at the Fermi level (states/eV/atom): 0.90
Space-group type: No. 221
DFT total energy (Ha/atom): -0.84317


# 10
This record from the Alexandria database describes a PBEsol-optimized structure of Si2AgAs. The functional is SCAN.

The structure in POSCAR format:
```
Si2AgAs
1.0
5.826 0.000 0.000
-2.913 5.866 0.015
0.000 2.880 5.064
As Si Ag
2 4 2
Direct
0.250 0.500 0.250
0.500 0.000 0.500
0.622 0.750 0.375
0.128 0.750 0.875
0.875 0.250 0.622
0.375 0.250 0.128
0.750 0.500 0.750
0.000 0.000 0.000
```

Values from the calculation:
Density of states at the Fermi level (states/eV/atom): 0.14
Space-group type: No. 122
DFT total energy (Ha/atom): -0.64465
ΔE_f (raw) (eV per atom): 0.355


# 11
This record from the Alexandria database describes a PBEsol-optimized structure of Pr2Ga5Cu3. The functional is SCAN.

The structure in POSCAR format:
```
Pr2Ga5Cu3
1.0
4.193 0.000 0.000
0.000 4.193 0.000
0.000 0.000 10.093
Pr Ga Cu
2 5 3
Direct
0.500 0.000 0.744
0.000 0.500 0.256
0.000 0.500 0.864
0.500 0.000 0.382
0.500 0.000 0.136
0.000 0.500 0.618
0.500 0.500 0.000
0.000 0.000 0.500
0.000 0.000 0.000
0.500 0.500 0.500
```

Values from the calculation:
Density of states at the Fermi level (states/eV/atom): 0.35
Space-group type: No. 115
DFT total energy (Ha/atom): -0.80758


# 12
This record from the Alexandria database describes a PBEsol-optimized structure of Y2Co. The functional is SCAN.

The structure in POSCAR format:
```
Y2Co
1.0
6.553 0.000 0.000
0.000 6.553 0.000
0.000 0.000 6.553
Co Y
4 8
Direct
0.000 0.000 0.000
0.000 0.500 0.500
0.500 0.000 0.500
0.500 0.500 0.000
0.164 0.664 0.836
0.164 0.836 0.336
0.336 0.164 0.836
0.336 0.336 0.336
0.664 0.664 0.664
0.664 0.836 0.164
0.836 0.164 0.664
0.836 0.336 0.164
```

Values from the calculation:
Density of states at the Fermi level (states/eV/atom): 0.70
Space-group type: No. 205
DFT total energy (Ha/atom): -0.89563


Question: What is the DFT total energy in the second record?
Answer: -1.50549 Ha/atom